Below is crystalline ZnTcAu2 at its relaxed geometry, with properties calculated at the PBE level.

The structure in POSCAR format:
```
ZnTcAu2
1.0
-1.376 2.453 4.860
1.376 -2.453 4.860
1.376 2.453 -4.860
Zn Tc Au
1 1 2
direct
0.000 0.000 0.000
0.764 0.264 0.500
0.242 0.742 0.500
0.508 0.508 0.000
```

Summary:
**Energy of formation**: 0.211 eV/atom
**Total moment**: 0.34 μB per cell
**Calculated total energy**: -17.35 eV per cell